Record 1
DFT (GGA-PBE) results for crystalline ThCuPd2 at its relaxed geometry.

Cell: 7.3053 7.4205 5.4897 Å, 90.00 90.00 90.00°
Last column: nearest neighbours and their distance in Å.
Space group Pnma (No. 62)
One atom of each set of equivalent atoms:
Th (0.0297, 0.2500, 0.1229) [4 per cell]  3 Cu 2.88-2.98, 8 Pd 3.06-3.17
Cu (0.1121, 0.7500, 0.3673) [4 per cell]  6 Pd 2.58-2.64, 1 Th 2.88
Pd (0.1858, 0.0510, 0.5901) [8 per cell]  3 Cu 2.58-2.64

Properties
Crystal system = orthorhombic
VASP energy = -98.0 eV/cell

---

Record 2
DFT (GGA-PBE) results for crystalline LaNd6Tl2 at its relaxed geometry.

Cell: 13.3033 3.8856 12.3135 Å, 90.00 108.15 90.00°
Last column: nearest neighbours and their distance in Å.
Space group C2/m (No. 12)
One atom of each set of equivalent atoms:
La (0.0000, 0.0000, 0.0000) [2 per cell]  4 Tl 3.35
Nd (0.0097, 0.0000, 0.3429) [4 per cell]  2 Tl 3.33, 4 Nd 3.63-3.67
Nd (0.1889, 0.5000, 0.8735) [4 per cell]  2 Tl 3.40, 5 Nd 3.58-3.67
Nd (0.1906, 0.5000, 0.5836) [4 per cell]  2 Tl 3.39, 7 Nd 3.54-3.73
Tl (0.1415, 0.5000, 0.2144) [4 per cell]  6 Nd 3.33-3.40, 2 La 3.35

Properties
Crystal system = monoclinic
ΔE to the lowest computed polymorph = 0.0 kJ/mol of atoms

---

Record 3
DFT (GGA-PBE) results for crystalline LiIr2Ru at its relaxed geometry.

Cell: 8.9085 2.6842 4.6639 Å, 90.00 97.74 90.00°
Last column: nearest neighbours and their distance in Å.
Space group C2/m (No. 12)
One atom of each set of equivalent atoms:
Li (0.0000, 0.0000, 0.0000) [2 per cell]  6 Ir 2.59-2.76, 2 Li 2.68, 4 Ru 2.69
Ir (0.2438, 0.0000, 0.7523) [4 per cell]  3 Li 2.59-2.76, 6 Ir 2.66-2.72, 3 Ru 2.69-2.71
Ru (0.0000, 0.5000, 0.5000) [2 per cell]  2 Ru 2.68, 6 Ir 2.69-2.71, 4 Li 2.69

Properties
Crystal system = monoclinic
ΔE to the lowest computed polymorph = 1.3 kJ/mol of atoms

---

Record 4
DFT (GGA-PBE) results for crystalline Ta2MnMo at its relaxed geometry.

Cell: 2.9436 2.9436 26.1174 Å, 90.00 90.00 120.00°
Last column: nearest neighbours and their distance in Å.
Space group R3m (No. 160, hexagonal axes)
One atom of each set of equivalent atoms:
Ta (0.0000, 0.0000, 0.0000) [3 per cell]  3 Mo 2.90, 9 Ta 2.94-2.96
Ta (0.0000, 0.0000, 0.2404) [3 per cell]  3 Mn 2.67, 9 Ta 2.94-2.96
Mn (0.0000, 0.0000, 0.4951) [3 per cell]  3 Mo 2.53, 3 Ta 2.67
Mo (0.0000, 0.0000, 0.7567) [3 per cell]  3 Mn 2.53

Properties
Crystal system = trigonal
VASP energy = -127.9 eV/cell

---

Record 5
DFT (GGA-PBE) results for crystalline Hf4ZnIn2 at its relaxed geometry.

Cell: 3.1694 30.3459 3.1942 Å, 90.00 90.00 90.00°
Last column: nearest neighbours and their distance in Å.
Space group Cmmm (No. 65)
One atom of each set of equivalent atoms:
Hf (0.0000, 0.0600, 0.0000) [4 per cell]  4 Zn 2.90, 8 Hf 3.09-3.19
Hf (0.0000, 0.3703, 0.5000) [4 per cell]  8 Hf 3.09-3.19, 4 In 3.23
Zn (0.0000, 0.5000, 0.5000) [2 per cell]  8 Hf 2.90, 4 Zn 3.17-3.19
In (0.0000, 0.2060, 0.0000) [4 per cell]  6 In 3.10-3.19, 4 Hf 3.23

Properties
Crystal system = orthorhombic
ΔE to the lowest computed polymorph = 0.0 kJ/mol of atoms

---

Record 6
DFT (GGA-PBE) results for crystalline CaTa2Se at its relaxed geometry.

Cell: 3.1843 3.1843 8.3772 Å, 90.00 90.00 90.00°
Last column: nearest neighbours and their distance in Å.
Space group P4/mmm (No. 123)
One atom of each set of equivalent atoms:
Ca (0.0000, 0.0000, 0.0000) [1 per cell]  4 Ca 3.18, 8 Ta 3.47
Ta (0.5000, 0.5000, 0.3146) [2 per cell]  4 Se 2.74
Se (0.0000, 0.0000, 0.5000) [1 per cell]  8 Ta 2.74

Properties
Crystal system = tetragonal
VASP energy = -27.9 eV/cell

---

Record 7
DFT (GGA-PBE) results for crystalline As3Ru at its relaxed geometry.

Cell: 2.9387 2.9387 8.4328 Å, 90.00 90.00 90.00°
Last column: nearest neighbours and their distance in Å.
Space group P4/mmm (No. 123)
One atom of each set of equivalent atoms:
As (0.0000, 0.0000, 0.0000) [1 per cell]  4 As 2.94
As (0.5000, 0.5000, 0.3098) [2 per cell]  4 Ru 2.63, 4 As 2.94
Ru (0.0000, 0.0000, 0.5000) [1 per cell]  8 As 2.63, 4 Ru 2.94

Properties
Crystal system = tetragonal
ΔE to the lowest computed polymorph = 10.8 kJ/mol of atoms

---

Record 8
DFT (GGA-PBE) results for crystalline Ba2ScBr at its relaxed geometry.

Cell: 9.4938 9.4938 8.1528 Å, 90.00 90.00 90.00°
Last column: nearest neighbours and their distance in Å.
Space group I-42d (No. 122)
One atom of each set of equivalent atoms:
Ba (0.2017, 0.2500, 0.1250) [8 per cell]  2 Br 3.22
Sc (0.0000, 0.0000, 0.5000) [4 per cell]  4 Ba 3.83, 2 Br 4.08
Br (0.0000, 0.0000, 0.0000) [4 per cell]  4 Ba 3.22

Properties
Crystal system = tetragonal
ΔE to the lowest computed polymorph = 29.1 kJ/mol of atoms

---

Record 9
DFT (GGA-PBE) results for crystalline PuPd4 at its relaxed geometry.

Cell: 4.9651 4.9651 4.9651 Å, 90.00 90.00 90.00°
Last column: nearest neighbours and their distance in Å.
Space group Pm-3m (No. 221)
One atom of each set of equivalent atoms:
Pu (0.0000, 0.0000, 0.0000) [1 per cell]  6 Pd 2.48
Pd (0.0000, 0.0000, 0.5000) [3 per cell]  2 Pu 2.48
Pd (0.5000, 0.5000, 0.5000) [1 per cell]  12 Pd 3.51

Properties
Crystal system = cubic
VASP energy = -30.7 eV/cell

---

Record 10
DFT (GGA-PBE) results for crystalline CuSb2TeC at its relaxed geometry.

Cell: 4.7070 4.7070 4.7849 Å, 90.00 90.00 90.00°
Last column: nearest neighbours and their distance in Å.
Space group P4/mmm (No. 123)
One atom of each set of equivalent atoms:
Cu (0.0000, 0.0000, 0.0000) [1 per cell]  4 Te 3.33, 8 Sb 3.36
Sb (0.0000, 0.5000, 0.5000) [2 per cell]  2 C 2.35
Te (0.5000, 0.5000, 0.0000) [1 per cell]  2 C 2.39
C (0.5000, 0.5000, 0.5000) [1 per cell]  4 Sb 2.35, 2 Te 2.39

Properties
Crystal system = tetragonal
ΔE to the lowest computed polymorph = 0.0 kJ/mol of atoms

---

Record 11
DFT (GGA-PBE) results for crystalline Ca12Zn6In at its relaxed geometry.

Cell: 10.4887 10.4887 10.4887 Å, 90.00 90.00 90.00°
Last column: nearest neighbours and their distance in Å.
Space group Im-3 (No. 204)
One atom of each set of equivalent atoms:
Ca (0.0000, 0.1842, 0.2891) [24 per cell]  3 Zn 3.00-3.21
Zn (0.0000, 0.3770, 0.5000) [12 per cell]  1 Zn 2.58
In (0.0000, 0.0000, 0.0000) [2 per cell]  12 Ca 3.60

Properties
Crystal system = cubic
VASP energy = -76.6 eV/cell

---

Record 12
DFT (GGA-PBE) results for crystalline VP2Pb at its relaxed geometry.

Cell: 5.8660 5.8660 11.7387 Å, 90.00 90.00 90.00°
Last column: nearest neighbours and their distance in Å.
Space group I-42d (No. 122)
One atom of each set of equivalent atoms:
V (0.0000, 0.0000, 0.0000) [4 per cell]  4 P 2.30
P (0.1704, 0.2500, 0.1250) [8 per cell]  2 V 2.30
Pb (0.0000, 0.0000, 0.5000) [4 per cell]  4 P 2.84

Properties
Crystal system = tetragonal
VASP energy = -94.2 eV/cell

---

| no. | calculated volume (Å³/f.u.) |
| --- | --- |
| 1 | 74.40 |
| 2 | 302.42 |
| 3 | 55.25 |
| 4 | 65.33 |
| 5 | 153.61 |
| 6 | 84.94 |
| 7 | 72.82 |
| 8 | 183.71 |
| 9 | 122.40 |
| 10 | 106.02 |
| 11 | 576.95 |
| 12 | 100.98 |